The following is a DFT calculation (PBE) of an optimized crystal structure of La2MgScCo.

Geometry as POSCAR:
```
La2MgScCo
1.0
5.3020 0.0000 0.0000
0.0000 5.3020 0.0000
0.0000 0.0000 5.0575
La Mg Sc Co
2 1 1 1
direct
0.0000 0.5000 0.0000 La
0.5000 0.0000 0.0000 La
0.0000 0.0000 0.5000 Mg
0.5000 0.5000 0.5000 Sc
0.5000 0.5000 0.0000 Co
```

## Properties
Energy ... -5.04 eV/atom
Crystal system ... tetragonal
Space group ... P4/mmm (123)

---

The following is a DFT calculation (PBE) of an optimized crystal structure of Ba4CaTe5.

Geometry as POSCAR:
```
Ba4CaTe5
1.0
2.4566 1.4183 20.0857
-2.4566 1.4183 20.0857
0.0000 -2.8366 20.0857
Ba Ca Te
4 1 5
direct
0.1038 0.1038 0.1038 Ba
0.2987 0.2987 0.2987 Ba
0.7013 0.7013 0.7013 Ba
0.8962 0.8962 0.8962 Ba
0.5000 0.5000 0.5000 Ca
0.0000 0.0000 0.0000 Te
0.1948 0.1948 0.1948 Te
0.4025 0.4025 0.4025 Te
0.5975 0.5975 0.5975 Te
0.8052 0.8052 0.8052 Te
```

## Properties
E_form (uncorrected) ... -1.7456 eV per atom
Crystal system ... trigonal
Space group ... R-3m (166)

---

The following is a DFT calculation (PBE) of an optimized crystal structure of Pr4Sm2Ho3.

Geometry as POSCAR:
```
Pr4Sm2Ho3
1.0
3.6382 0.0000 0.0000
-1.8191 3.1508 0.0000
0.0000 0.0000 27.0778
Pr Sm Ho
4 2 3
direct
0.0000 0.0000 0.0000 Pr
0.0000 0.0000 0.2137 Pr
0.3333 0.6667 0.3300 Pr
0.3333 0.6667 0.5457 Pr
0.0000 0.0000 0.6584 Sm
0.0000 0.0000 0.8677 Sm
0.0000 0.0000 0.4375 Ho
0.3333 0.6667 0.1054 Ho
0.3333 0.6667 0.7645 Ho
```

## Properties
Energy ... -4.64 eV/atom
Crystal system ... trigonal
Space group ... P3m1 (156)

---

The following is a DFT calculation (PBE) of an optimized crystal structure of Pm6Ir3Au.

Geometry as POSCAR:
```
Pm6Ir3Au
1.0
5.5193 -7.1028 0.0000
5.5193 7.1028 0.0000
0.0000 0.0000 7.2632
Pm Ir Au
12 6 2
direct
0.0110 0.9890 0.5000 Pm
0.1008 0.5463 0.4577 Pm
0.2315 0.7685 0.8512 Pm
0.3048 0.3615 0.9123 Pm
0.3615 0.3048 0.4123 Pm
0.4537 0.8992 0.4577 Pm
0.5463 0.1008 0.9577 Pm
0.6385 0.6952 0.9123 Pm
0.6952 0.6385 0.4123 Pm
0.7685 0.2315 0.3512 Pm
0.8992 0.4537 0.9577 Pm
0.9890 0.0110 0.0000 Pm
0.0730 0.2918 0.2108 Ir
0.2918 0.0730 0.7108 Ir
0.3998 0.6002 0.6279 Ir
0.6002 0.3998 0.1279 Ir
0.7082 0.9270 0.2108 Ir
0.9270 0.7082 0.7108 Ir
0.1684 0.8316 0.2329 Au
0.8316 0.1684 0.7329 Au
```

## Properties
Crystal system ... orthorhombic
Distance to the lowest polymorph of the same formula ... 60 meV per atom
Space group ... Cmc2_1 (36)

---

The following is a DFT calculation (PBE) of an optimized crystal structure of Tb5Nd3In2.

Geometry as POSCAR:
```
Tb5Nd3In2
1.0
-6.4719 7.8232 3.2379
6.4719 -7.8232 3.2379
6.4719 7.8232 -3.2379
Tb Nd In
10 6 4
direct
0.1630 0.1235 0.2865 Tb
0.2500 0.0028 0.7528 Tb
0.2500 0.2500 0.0000 Tb
0.2500 0.4972 0.2472 Tb
0.3370 0.6235 0.9606 Tb
0.6630 0.3765 0.0394 Tb
0.7500 0.5028 0.7528 Tb
0.7500 0.7500 0.0000 Tb
0.7500 0.9972 0.2472 Tb
0.8370 0.8765 0.7135 Tb
0.2393 0.3833 0.6226 Nd
0.2500 0.7500 0.5000 Nd
0.2607 0.8833 0.1440 Nd
0.7393 0.1167 0.8560 Nd
0.7500 0.2500 0.5000 Nd
0.7607 0.6167 0.3774 Nd
0.1468 0.6366 0.7834 In
0.3532 0.1366 0.4898 In
0.6468 0.8634 0.5102 In
0.8532 0.3634 0.2166 In
```

## Properties
Energy ... -4.25 eV/atom
Crystal system ... orthorhombic
Space group ... Ibam (72)

---

The following is a DFT calculation (PBE) of an optimized crystal structure of YNbNi10.

Geometry as POSCAR:
```
YNbNi10
1.0
3.9690 0.0000 0.0000
0.0000 4.7645 0.0000
0.0000 0.0000 8.2642
Y Nb Ni
1 1 10
direct
0.0000 0.0000 0.0000 Y
0.0000 0.5000 0.5000 Nb
0.0000 0.0000 0.3432 Ni
0.0000 0.0000 0.6568 Ni
0.0000 0.5000 0.1812 Ni
0.0000 0.5000 0.8188 Ni
0.5000 0.0000 0.5000 Ni
0.5000 0.2555 0.2595 Ni
0.5000 0.2555 0.7405 Ni
0.5000 0.5000 0.0000 Ni
0.5000 0.7445 0.2595 Ni
0.5000 0.7445 0.7405 Ni
```

## Properties
Energy ... -6.37 eV/atom
Crystal system ... orthorhombic
Space group ... Pmmm (47)